Record 1
Crystalline ZrIn2Os at its relaxed geometry, computed with PBE-GGA.

```
ZrIn2Os
1.0
4.949 -1.666 0.000
4.949 1.666 0.000
-1.183 0.000 4.821
Zr In Os
1 2 1
direct
0.000 0.000 0.000
0.237 0.237 0.732
0.763 0.763 0.268
0.500 0.500 0.500
```

## Properties
* calculated formation energy: 0.104 eV/atom
* volume: 79.5 Å³/cell
* E_tot: -24.841 eV per cell
* SG: C2/m (12)

Record 2
Crystalline FeAu4Se at its relaxed geometry, computed with PBE-GGA.

```
FeAu4Se
1.0
0.000 3.893 3.893
3.893 0.000 3.893
3.893 3.893 0.000
Fe Au Se
1 4 1
direct
0.000 0.000 0.000
0.375 0.375 0.375
0.375 0.375 0.876
0.375 0.876 0.375
0.876 0.375 0.375
0.750 0.750 0.750
```

## Properties
* ΔE_f (raw): 2.57 eV/f.u.
* volume: 118.0 Å³/cell
* E_tot: -22.487 eV per cell
* SG: F-43m (216)

Record 3
Crystalline LaCd2S at its relaxed geometry, computed with PBE-GGA.

```
LaCd2S
1.0
-4.379 4.379 2.818
4.379 -4.379 2.818
4.379 4.379 -2.818
La Cd S
2 4 2
direct
0.000 0.000 0.000
0.750 0.250 0.500
0.168 0.625 0.043
0.375 0.418 0.543
0.582 0.125 0.957
0.875 0.832 0.457
0.250 0.750 0.500
0.500 0.500 0.000
```

## Properties
* ΔE_f (raw): -2.44 eV/f.u.
* volume: 216.1 Å³/cell
* E_tot: -26.648 eV per cell
* SG: I-42d (122)

Record 4
Crystalline KSmCl3 at its relaxed geometry, computed with PBE-GGA.

```
KSmCl3
1.0
5.470 0.000 0.000
0.000 5.470 0.000
0.000 0.000 5.470
K Sm Cl
1 1 3
direct
0.000 0.000 0.000
0.500 0.500 0.500
0.000 0.500 0.500
0.500 0.000 0.500
0.500 0.500 0.000
```

## Properties
* ΔE_f (raw): -9.21 eV/f.u.
* volume: 163.6 Å³/cell
* E_tot: -20.566 eV per cell
* SG: Pm-3m (221)

Record 5
Crystalline Ce2ZrCd at its relaxed geometry, computed with PBE-GGA.

```
Ce2ZrCd
1.0
0.000 3.750 3.750
3.750 0.000 3.750
3.750 3.750 0.000
Ce Zr Cd
2 1 1
direct
0.250 0.250 0.250
0.750 0.750 0.750
0.000 0.000 0.000
0.500 0.500 0.500
```

## Properties
* calculated formation energy: 0.117 eV/atom
* volume: 105.5 Å³/cell
* E_tot: -20.862 eV per cell
* SG: Fm-3m (225)
* energy above the most stable polymorph in this dataset: 152.2 meV per atom

Record 6
Crystalline FeCu2Mo at its relaxed geometry, computed with PBE-GGA.

```
FeCu2Mo
1.0
2.524 0.000 0.000
0.000 4.200 0.000
-0.503 0.000 4.893
Fe Cu Mo
1 2 1
direct
0.000 0.000 0.000
0.352 0.500 0.767
0.387 0.000 0.512
0.798 0.500 0.265
```

## Properties
* calculated formation energy: 0.219 eV/atom
* volume: 51.9 Å³/cell
* E_tot: -26.612 eV per cell
* SG: Pm (6)
* energy above the most stable polymorph in this dataset: 64.2 meV per atom

Record 7
Crystalline LaLu3Mn at its relaxed geometry, computed with PBE-GGA.

```
LaLu3Mn
1.0
5.246 0.000 0.000
0.000 5.246 0.000
0.000 0.000 5.246
La Lu Mn
1 3 1
direct
0.000 0.000 0.000
0.000 0.500 0.500
0.500 0.000 0.500
0.500 0.500 0.000
0.500 0.500 0.500
```

## Properties
* calculated formation energy: 0.160 eV/atom
* volume: 144.4 Å³/cell
* E_tot: -26.862 eV per cell
* SG: Pm-3m (221)

Record 8
Crystalline CsNaInHg2 at its relaxed geometry, computed with PBE-GGA.

```
CsNaInHg2
1.0
5.780 0.000 0.000
0.000 5.780 0.000
0.000 0.000 6.048
Cs Na In Hg
1 1 1 2
direct
0.000 0.000 0.000
0.500 0.500 0.000
0.500 0.500 0.500
0.000 0.500 0.500
0.500 0.000 0.500
```

## Properties
* calculated formation energy: -0.118 eV/atom
* volume: 202.1 Å³/cell
* E_tot: -6.105 eV per cell
* SG: P4/mmm (123)
* energy above the most stable polymorph in this dataset: 64.1 meV per atom

The highest E_tot belongs to which entry? CsNaInHg2

Look up the volume of the fourth one. 163.6 Å³/cell

What is the volume in the sixth record? 51.9 Å³/cell

Number 1 is which compound? ZrIn2Os